1.
Entry from Alexandria via LeMat-Bulk: a geometry-optimized Rb2Sn2Ir structure (PBE).

Cell lengths 7.0632, 7.0632, 6.2589 Å; angles 90.00, 90.00, 90.00 degrees
With the nearest neighbours (Å) after each atom.
Space group P4/mbm (No. 127)
One atom of each set of equivalent atoms:
Rb1 0.1790 0.3210 0.0000 (multiplicity 4)  6 Sn 3.54-3.92, 5 Rb 3.58-3.67
Sn1 0.1546 0.6546 0.5000 (multiplicity 4)  2 Ir 2.67
Ir1 0.0000 0.0000 0.5000 (multiplicity 2)  4 Sn 2.67

As for the density of states at the Fermi level: 0.564 states/eV per atom. For the formation energy, the calculation gives 0.017 eV/atom. The crystal system is tetragonal. As for the size of the total moment: 0.00 μB/f.u.

2.
Entry from Alexandria via LeMat-Bulk: a geometry-optimized PrTm2Zr structure (PBE).

Cell lengths 4.8874, 4.8874, 4.8703 Å; angles 90.00, 90.00, 90.00 degrees
With the nearest neighbours (Å) after each atom.
Space group P4/mmm (No. 123)
One atom of each set of equivalent atoms:
Pr1 0.0000 0.0000 0.0000 (multiplicity 1)  8 Tm 3.45, 4 Zr 3.46
Tm1 0.0000 0.5000 0.5000 (multiplicity 2)  4 Zr 3.45, 4 Pr 3.45, 4 Tm 3.46
Zr1 0.5000 0.5000 0.0000 (multiplicity 1)  8 Tm 3.45, 4 Pr 3.46

The energy relative to the lowest polymorph listed for this composition comes out at 0.11 eV/f.u. As for the density of states at the Fermi level: 1.243 states/eV per atom. For the formation energy, the calculation gives 0.106 eV/atom. The crystal system is tetragonal. As for the size of the total moment: 0.00 μB/f.u.

3.
Entry from Alexandria via LeMat-Bulk: a geometry-optimized Zn2PW structure (PBE).

Cell lengths 2.8816, 2.8816, 25.5736 Å; angles 90.00, 90.00, 120.00 degrees
With the nearest neighbours (Å) after each atom.
Space group R-3m (No. 166, hexagonal axes)
One atom of each set of equivalent atoms:
Zn1 0.0000 0.0000 0.2476 (multiplicity 6)  3 P 2.66, 3 W 2.75, 6 Zn 2.88
P1 0.0000 0.0000 0.5000 (multiplicity 3)  6 Zn 2.66, 6 P 2.88
W1 0.0000 0.0000 0.0000 (multiplicity 3)  6 Zn 2.75, 6 W 2.88

As for the density of states at the Fermi level: 0.654 states/eV per atom. For the formation energy, the calculation gives 0.364 eV/atom. The crystal system is trigonal. As for the size of the total moment: 0.00 μB/f.u.

4.
Entry from Alexandria via LeMat-Bulk: a geometry-optimized CaCe2PrS4 structure (PBE).

Cell lengths 7.0277, 4.0344, 7.0498 Å; angles 90.00, 109.21, 90.00 degrees
With the nearest neighbours (Å) after each atom.
Space group P2/m (No. 10)
One atom of each set of equivalent atoms:
Ca1 0.0000 0.0000 0.0000 (multiplicity 1)  6 S 2.84
Ce1 0.0000 0.5000 0.5000 (multiplicity 1)  6 S 2.85
Ce2 0.5000 0.0000 0.5000 (multiplicity 1)  6 S 2.89-2.90
Pr1 0.5000 0.5000 0.0000 (multiplicity 1)  6 S 2.89
S1 0.2436 0.0000 0.7484 (multiplicity 2)  1 Ca 2.84, 3 Ce 2.85-2.90, 2 Pr 2.89
S2 0.2440 0.5000 0.2479 (multiplicity 2)  2 Ca 2.84, 3 Ce 2.85-2.89, 1 Pr 2.89

As for the density of states at the Fermi level: 1.488 states/eV per atom. The uncorrected formation energy comes out at -2.0225 eV per atom. The crystal system is monoclinic. As for the size of the total moment: 2.05 μB/f.u.

5.
Entry from Alexandria via LeMat-Bulk: a geometry-optimized SrY2C structure (PBE).

Cell lengths 7.4570, 7.4570, 10.5538 Å; angles 90.00, 90.00, 90.00 degrees
With the nearest neighbours (Å) after each atom.
Space group I-42d (No. 122)
One atom of each set of equivalent atoms:
Sr1 0.0000 0.0000 0.0000 (multiplicity 4)  12 Y 4.30-4.45, 4 C 4.57, 4 Sr 4.57
Y1 0.0119 0.2500 0.6250 (multiplicity 8)  2 C 2.29
C1 0.0000 0.0000 0.5000 (multiplicity 4)  4 Y 2.29

As for the density of states at the Fermi level: 0.802 states/eV per atom. For the formation energy, the calculation gives 0.189 eV/atom. The crystal system is tetragonal. As for the size of the total moment: 0.00 μB/f.u.

6.
Entry from Alexandria via LeMat-Bulk: a geometry-optimized KBiIr2 structure (PBE).

Cell lengths 7.9544, 7.9544, 6.0954 Å; angles 90.00, 90.00, 90.00 degrees
With the nearest neighbours (Å) after each atom.
Space group I-42d (No. 122)
One atom of each set of equivalent atoms:
K1 0.0000 0.0000 0.0000 (multiplicity 4)  2 Bi 3.05, 4 Ir 3.21
Bi1 0.0000 0.0000 0.5000 (multiplicity 4)  4 Ir 2.65
Ir1 0.1980 0.2500 0.6250 (multiplicity 8)  2 Bi 2.65

As for the density of states at the Fermi level: 0.458 states/eV per atom. For the formation energy, the calculation gives 1.019 eV/atom. The crystal system is tetragonal. As for the size of the total moment: 0.00 μB/f.u.

7.
Entry from Alexandria via LeMat-Bulk: a geometry-optimized Pm6Zn5Pt structure (PBE).

Cell lengths 5.1571, 15.5008, 7.2696 Å; angles 90.00, 90.00, 90.00 degrees
With the nearest neighbours (Å) after each atom.
Space group Cmmm (No. 65)
One atom of each set of equivalent atoms:
Pm1 0.0000 0.0000 0.2437 (multiplicity 4)  2 Pt 3.13, 6 Zn 3.18-3.26
Pm2 0.0000 0.3368 0.2494 (multiplicity 8)  7 Zn 3.08-3.16, 1 Pt 3.11
Zn1 0.0000 0.1702 0.5000 (multiplicity 4)  8 Pm 3.16-3.23
Zn2 0.0000 0.1762 0.0000 (multiplicity 4)  8 Pm 3.08-3.26, 2 Zn 3.45
Zn3 0.0000 0.5000 0.5000 (multiplicity 2)  8 Pm 3.12-3.18
Pt1 0.0000 0.5000 0.0000 (multiplicity 2)  8 Pm 3.11-3.13

As for the density of states at the Fermi level: 0.891 states/eV per atom. For the formation energy, the calculation gives -0.452 eV/atom. The crystal system is orthorhombic. As for the size of the total moment: 0.00 μB/f.u.

8.
Entry from Alexandria via LeMat-Bulk: a geometry-optimized TaHg2Pb structure (PBE).

Cell lengths 3.2001, 5.0152, 5.9521 Å; angles 90.00, 103.99, 90.00 degrees
With the nearest neighbours (Å) after each atom.
Space group P2/m (No. 10)
One atom of each set of equivalent atoms:
Ta1 0.0000 0.0000 0.0000 (multiplicity 1)  4 Hg 2.96, 2 Pb 2.98, 2 Ta 3.20
Hg1 0.3833 0.5000 0.2247 (multiplicity 2)  5 Hg 2.95-3.20, 2 Ta 2.96
Pb1 0.0000 0.0000 0.5000 (multiplicity 1)  2 Ta 2.98, 2 Pb 3.20

As for the density of states at the Fermi level: 0.875 states/eV per atom. For the formation energy, the calculation gives 0.515 eV/atom. The crystal system is monoclinic. As for the size of the total moment: 0.00 μB/f.u.

Question: Number 7 is which compound?
Answer: Pm6Zn5Pt